No. 1
An optimized crystal structure of PmPb3F8. Source: Alexandria, functional PBE.

Calculated values
Magnetic moment: 0.00 μB per cell
Crystal system: cubic
Calculated volume: 214.1 Å³ per cell
E: -5.31 eV/atom

abc: 5.9827 5.9827 5.9827
angles: 90.00 90.00 90.00
Space group Pm-3m (No. 221)
Asymmetric unit:
Pm 0.0000 0.0000 0.0000 x1
Pb 0.0000 0.5000 0.5000 x3
F 0.2285 0.2285 0.2285 x8

***

No. 2
An optimized crystal structure of PmPb4F10. Source: Alexandria, functional PBE.

Calculated values
Magnetic moment: 0.00 μB per cell
Crystal system: tetragonal
Calculated volume: 535.1 Å³ per cell
E: -5.21 eV/atom

abc: 9.2990 9.2990 6.1876
angles: 90.00 90.00 90.00
Space group I4/m (No. 87)
Asymmetric unit:
Pm 0.0000 0.0000 0.0000 x2
Pb 0.0997 0.3009 0.5000 x8
F 0.0000 0.5000 0.2500 x4
F 0.0975 0.8122 0.2212 x16

***

No. 3
An optimized crystal structure of Pm2PbF. Source: Alexandria, functional PBE.

Calculated values
Energy above the most stable polymorph in this dataset: 391 meV per atom
Magnetic moment: 0.00 μB per cell
Crystal system: tetragonal
Calculated volume: 96.9 Å³ per cell
E: -4.90 eV/atom

abc: 3.4482 3.4482 8.1464
angles: 90.00 90.00 90.00
Space group P4/mmm (No. 123)
Asymmetric unit:
Pm 0.0000 0.0000 0.2265 x2
Pb 0.5000 0.5000 0.5000 x1
F 0.5000 0.5000 0.0000 x1

***

No. 4
An optimized crystal structure of Pm2PbF. Source: Alexandria, functional PBE.

Calculated values
Energy above the most stable polymorph in this dataset: 0 meV per atom
Magnetic moment: 0.00 μB per cell
Crystal system: monoclinic
Calculated volume: 429.8 Å³ per cell
E: -5.29 eV/atom

abc: 7.6298 6.8919 8.3418
angles: 90.00 101.50 90.00
Space group P2_1/c (No. 14)
Asymmetric unit:
Pm 0.0658 0.1233 0.3291 x4
Pm 0.3364 0.6712 0.5170 x4
Pb 0.3297 0.1211 0.6693 x4
F 0.1964 0.6646 0.7542 x4

***

No. 5
An optimized crystal structure of Pm7Pb4F. Source: Alexandria, functional PBE.

Calculated values
Magnetic moment: 0.00 μB per cell
Crystal system: monoclinic
Calculated volume: 771.3 Å³ per cell
E: -4.90 eV/atom

abc: 16.8301 5.2320 11.3068
angles: 90.00 129.22 90.00
Space group C2/m (No. 12)
Asymmetric unit:
Pm 0.0000 0.0000 0.0000 x2
Pm 0.0720 0.5000 0.2700 x4
Pm 0.1363 0.0000 0.5537 x4
Pm 0.2088 0.5000 0.8517 x4
Pb 0.0795 0.0000 0.7941 x4
Pb 0.2190 0.0000 0.3447 x4
F 0.0000 0.5000 0.0000 x2

***

No. 6
An optimized crystal structure of RbPmPb2F8. Source: Alexandria, functional PBE.

Calculated values
Magnetic moment: 0.00 μB per cell
Crystal system: orthorhombic
Calculated volume: 216.0 Å³ per cell
E: -5.37 eV/atom

abc: 4.1821 6.1192 8.4413
angles: 90.00 90.00 90.00
Space group Pmmm (No. 47)
Asymmetric unit:
Rb 0.0000 0.0000 0.0000 x1
Pm 0.0000 0.0000 0.5000 x1
Pb 0.5000 0.5000 0.2423 x2
F 0.0000 0.2483 0.2866 x4
F 0.5000 0.2076 0.5000 x2
F 0.5000 0.2862 0.0000 x2